Material: NaCu2O2
Method: DFT, meta-GGA SCAN
State: PBEsol geometry

Cell lengths 5.969, 5.969, 13.027 Å; angles 90.00, 90.00, 90.00 degrees
Space group P4_2/nmc (No. 137, origin choice 2)
Asymmetric unit:
Na  0.012  0.250  0.172 [8 per cell]
Cu  0.002  0.750  0.138 [8 per cell]
Cu  0.002  0.750  0.506 [8 per cell]
O  0.032  0.250  0.353 [8 per cell]
O  0.034  0.750  0.367 [8 per cell]

Calculated values
* energy: -10.4335 eV/atom


Material: Na5Cu7O13
Method: DFT, meta-GGA SCAN
State: PBEsol geometry

Cell lengths 6.340, 6.893, 7.604 Å; angles 99.37, 99.08, 106.65 degrees
Space group P1 (No. 1)
Asymmetric unit:
Na  0.000  0.000  0.000 [1 per cell]
Na  0.055  0.145  0.602 [1 per cell]
Na  0.375  0.414  0.158 [1 per cell]
Na  0.553  0.573  0.871 [1 per cell]
Na  0.699  0.713  0.551 [1 per cell]
Cu  0.050  0.567  0.863 [1 per cell]
Cu  0.131  0.671  0.549 [1 per cell]
Cu  0.245  0.804  0.261 [1 per cell]
Cu  0.503  0.990  0.037 [1 per cell]
Cu  0.610  0.227  0.426 [1 per cell]
Cu  0.644  0.143  0.760 [1 per cell]
Cu  0.873  0.408  0.155 [1 per cell]
O  0.030  0.341  0.971 [1 per cell]
O  0.071  0.795  0.756 [1 per cell]
O  0.091  0.870  0.429 [1 per cell]
O  0.156  0.540  0.323 [1 per cell]
O  0.194  0.489  0.683 [1 per cell]
O  0.376  0.075  0.224 [1 per cell]
O  0.418  0.742  0.101 [1 per cell]
O  0.598  0.255  0.987 [1 per cell]
O  0.629  0.011  0.531 [1 per cell]
O  0.630  0.913  0.851 [1 per cell]
O  0.699  0.375  0.664 [1 per cell]
O  0.709  0.454  0.332 [1 per cell]
O  0.927  0.675  0.036 [1 per cell]

Calculated values
* energy: -9.3147 eV/atom